Entry A
Material: LaMnSe2
Method: DFT, GGA-PBEsol
State: relaxed

Calculated values
M_tot: 4.0 μB/cell
theoretical density: 6.9 g/cm³

Cell lengths 4.9318, 4.9318, 4.9318 Å; angles 60.00, 60.00, 60.00 degrees
Element x y z (fractional)
Se: 0.2500 0.2500 0.2500
Se: 0.7500 0.7500 0.7500
La: 0.0000 0.0000 0.0000
Mn: 0.5000 0.5000 0.5000

Entry B
Material: LaMnSe2
Method: DFT, GGA-PBEsol
State: relaxed

Calculated values
M_tot: 4.0 μB/cell
theoretical density: 4.4 g/cm³

Cell lengths 4.4486, 4.4486, 8.0871 Å; angles 74.04, 74.04, 60.00 degrees
Element x y z (fractional)
Se: 0.1018 0.1018 0.6947
Se: 0.8982 0.8982 0.3053
Mn: 0.0000 0.0000 0.0000
La: 0.5000 0.5000 0.5000

Entry C
Material: LaMnSe2
Method: DFT, GGA-PBEsol
State: relaxed

Calculated values
M_tot: 4.6 μB/cell
theoretical density: 6.8 g/cm³

Cell lengths 3.5311, 3.5311, 6.8925 Å; angles 90.00, 90.00, 90.00 degrees
Element x y z (fractional)
La: 0.5000 0.5000 0.0000
Se: 0.0000 0.0000 0.7333
Se: 0.0000 0.0000 0.2667
Mn: 0.5000 0.5000 0.5000

Which structure is the most stable? The one labeled entry A.

Entry A
Material: LaTaMn
Method: DFT, GGA-PBEsol
State: relaxed

Calculated values
M_tot: 1.7 μB/cell
theoretical density: 9.5 g/cm³

Cell lengths 4.1823, 4.2638, 4.2638 Å; angles 120.00, 90.00, 90.00 degrees
Element x y z (fractional)
Mn: 0.4994 0.3333 0.6667
La: 0.0002 0.0000 0.0000
Ta: 0.5004 0.6667 0.3333

Entry B
Material: LaTaMn
Method: DFT, GGA-PBEsol
State: relaxed

Calculated values
M_tot: 2.3 μB/cell
theoretical density: 9.5 g/cm³

Cell lengths 4.5240, 4.5240, 4.5240 Å; angles 60.00, 60.00, 60.00 degrees
Element x y z (fractional)
Mn: 0.0000 0.0000 0.0000
La: 0.2500 0.2500 0.2500
Ta: 0.5000 0.5000 0.5000

Which structure is the most stable? The one labeled entry A.

Entry A
Material: LaMn2Tl
Method: DFT, GGA-PBEsol
State: relaxed

Calculated values
M_tot: 6.2 μB/cell
theoretical density: 9.2 g/cm³

Cell lengths 3.1899, 4.8225, 6.0370 Å; angles 113.54, 105.32, 90.00 degrees
Element x y z (fractional)
Tl: 0.5315 0.5315 0.0630
Mn: 0.9590 0.9590 0.9180
Mn: 0.2572 0.7572 0.5143
La: 0.7523 0.2523 0.5046

Entry B
Material: LaMn2Tl
Method: DFT, GGA-PBEsol
State: relaxed

Calculated values
M_tot: 6.7 μB/cell
theoretical density: 9.1 g/cm³

Cell lengths 3.4197, 3.4197, 7.0634 Å; angles 90.00, 90.00, 90.00 degrees
Element x y z (fractional)
La: 0.5000 0.5000 0.5000
Mn: 0.0000 0.0000 0.2122
Mn: 0.0000 0.0000 0.7878
Tl: 0.5000 0.5000 0.0000

Which structure is the most stable? The one labeled entry A.

Entry A
Material: LaMnW
Method: DFT, GGA-PBEsol
State: relaxed

Calculated values
M_tot: 0.8 μB/cell
theoretical density: 11.1 g/cm³

Cell lengths 3.0710, 3.0710, 6.9441 Å; angles 90.00, 90.00, 120.00 degrees
Element x y z (fractional)
W: 0.6667 0.3333 0.3924
Mn: 0.3333 0.6667 0.6177
La: 0.0000 0.0000 0.9899

Entry B
Material: LaMnW
Method: DFT, GGA-PBEsol
State: relaxed

Calculated values
M_tot: 1.6 μB/cell
theoretical density: 10.1 g/cm³

Cell lengths 4.4475, 4.4475, 4.4475 Å; angles 60.00, 60.00, 60.00 degrees
Element x y z (fractional)
W: 0.5000 0.5000 0.5000
Mn: 0.0000 0.0000 0.0000
La: 0.2500 0.2500 0.2500

Which structure is the most stable? The one labeled entry A.

Entry A
Material: LaZr2Mn
Method: DFT, GGA-PBEsol
State: relaxed

Calculated values
M_tot: 0.0 μB/cell
theoretical density: 7.5 g/cm³

Cell lengths 3.3457, 5.0426, 5.7984 Å; angles 115.77, 106.77, 90.00 degrees
Element x y z (fractional)
La: 0.5393 0.5393 0.0787
Zr: 0.7523 0.2523 0.5046
Zr: 0.9488 0.9488 0.8976
Mn: 0.2595 0.7595 0.5190

Entry B
Material: LaZr2Mn
Method: DFT, GGA-PBEsol
State: relaxed

Calculated values
M_tot: 2.8 μB/cell
theoretical density: 7.5 g/cm³

Cell lengths 3.2329, 5.0873, 5.0873 Å; angles 90.00, 90.00, 90.00 degrees
Element x y z (fractional)
Mn: 0.5000 0.0000 0.0000
Zr: 0.0000 0.5000 0.0000
Zr: 0.0000 0.0000 0.5000
La: 0.5000 0.5000 0.5000

Which structure is the most stable? The one labeled entry A.

Entry A
Material: La2Mo
Method: DFT, GGA-PBEsol
State: relaxed

Calculated values
M_tot: 0.0 μB/cell
theoretical density: 8.3 g/cm³

Cell lengths 3.5241, 3.5241, 6.5445 Å; angles 105.62, 105.62, 90.00 degrees
Element x y z (fractional)
La: 0.3554 0.3554 0.7108
La: 0.6446 0.6446 0.2892
Mo: 0.0000 0.0000 0.0000

Entry B
Material: La2Mo
Method: DFT, GGA-PBEsol
State: relaxed

Calculated values
M_tot: 0.0 μB/cell
theoretical density: 8.0 g/cm³

Cell lengths 4.7758, 4.7758, 7.8768 Å; angles 90.00, 90.00, 120.00 degrees
Element x y z (fractional)
La: 0.6667 0.3333 0.7500
La: 0.0000 0.0000 0.5000
La: 0.0000 0.0000 0.0000
La: 0.3333 0.6667 0.2500
Mo: 0.6667 0.3333 0.2500
Mo: 0.3333 0.6667 0.7500

Entry C
Material: La2Mo
Method: DFT, GGA-PBEsol
State: relaxed

Calculated values
M_tot: 0.0 μB/cell
theoretical density: 8.1 g/cm³

Cell lengths 3.4807, 3.4807, 7.3149 Å; angles 90.00, 90.00, 120.00 degrees
Element x y z (fractional)
La: 0.6667 0.3333 0.2913
La: 0.3333 0.6667 0.7087
Mo: 0.0000 0.0000 0.0000

Which structure is the most stable? The one labeled entry A.

Entry A
Material: LaMo2
Method: DFT, GGA-PBEsol
State: relaxed

Calculated values
M_tot: 0.0 μB/cell
theoretical density: 8.0 g/cm³

Cell lengths 3.5968, 3.5968, 5.2960 Å; angles 90.00, 90.00, 90.00 degrees
Element x y z (fractional)
La: 0.0000 0.0000 0.0000
Mo: 0.5000 0.0000 0.5000
Mo: 0.0000 0.5000 0.5000

Entry B
Material: LaMo2
Method: DFT, GGA-PBEsol
State: relaxed

Calculated values
M_tot: 0.0 μB/cell
theoretical density: 8.7 g/cm³

Cell lengths 3.4253, 4.8035, 7.8719 Å; angles 90.00, 102.57, 90.00 degrees
Element x y z (fractional)
Mo: 0.3600 0.2500 0.7199
Mo: 0.7461 0.2500 0.4921
Mo: 0.2539 0.7500 0.5079
Mo: 0.6400 0.7500 0.2801
La: 0.9235 0.7500 0.8470
La: 0.0765 0.2500 0.1530

Which structure is the most stable? The one labeled entry B.

Entry A
Material: LaMoN2
Method: DFT, GGA-PBEsol
State: relaxed

Calculated values
M_tot: 0.0 μB/cell
theoretical density: 6.8 g/cm³

Cell lengths 4.9530, 4.9530, 6.3022 Å; angles 113.14, 113.14, 90.00 degrees
Element x y z (fractional)
N: 0.7741 0.3750 0.2500
N: 0.6250 0.5241 0.7500
N: 0.4759 0.8750 0.2500
N: 0.1250 0.2259 0.7500
Mo: 0.5000 0.5000 0.0000
Mo: 0.7500 0.2500 0.5000
La: 0.2500 0.7500 0.5000
La: 0.0000 0.0000 0.0000

Entry B
Material: LaMoN2
Method: DFT, GGA-PBEsol
State: relaxed

Calculated values
M_tot: 0.0 μB/cell
theoretical density: 7.5 g/cm³

Cell lengths 3.1864, 3.1864, 6.8592 Å; angles 76.57, 76.57, 60.00 degrees
Element x y z (fractional)
Mo: 0.5000 0.5000 0.5000
La: 0.0000 0.0000 0.0000
N: 0.8835 0.8835 0.3495
N: 0.1165 0.1165 0.6505

Which structure is the most stable? The one labeled entry A.

Entry A
Material: La2NiMo
Method: DFT, GGA-PBEsol
State: relaxed

Calculated values
M_tot: 0.0 μB/cell
theoretical density: 7.8 g/cm³

Cell lengths 3.4005, 3.4005, 7.9530 Å; angles 90.00, 90.00, 90.00 degrees
Element x y z (fractional)
La: 0.5000 0.5000 0.3179
La: 0.0000 0.0000 0.9113
Ni: 0.5000 0.5000 0.6879
Mo: 0.0000 0.0000 0.5828

Entry B
Material: La2NiMo
Method: DFT, GGA-PBEsol
State: relaxed

Calculated values
M_tot: 0.0 μB/cell
theoretical density: 8.7 g/cm³

Cell lengths 4.1323, 4.1323, 5.6639 Å; angles 111.39, 111.39, 90.00 degrees
Element x y z (fractional)
Mo: 0.5000 0.5000 0.0000
Ni: 0.2500 0.7500 0.5000
La: 0.0000 0.0000 0.0000
La: 0.7500 0.2500 0.5000

Which structure is the most stable? The one labeled entry A.

Entry A
Material: LaMoOs2
Method: DFT, GGA-PBEsol
State: relaxed

Calculated values
M_tot: 0.0 μB/cell
theoretical density: 14.9 g/cm³

Cell lengths 2.8229, 5.3627, 5.3627 Å; angles 115.98, 100.65, 100.65 degrees
Element x y z (fractional)
Mo: 0.5000 0.5000 0.5000
La: 0.5000 0.0000 0.0000
Os: 0.0000 0.5000 0.0000
Os: 0.0000 0.0000 0.5000

Entry B
Material: LaMoOs2
Method: DFT, GGA-PBEsol
State: relaxed

Calculated values
M_tot: 0.0 μB/cell
theoretical density: 15.0 g/cm³

Cell lengths 2.8521, 2.8521, 9.8247 Å; angles 81.65, 81.65, 60.00 degrees
Element x y z (fractional)
Mo: 0.0000 0.0000 0.0000
La: 0.5000 0.5000 0.5000
Os: 0.2612 0.2612 0.2165
Os: 0.7388 0.7388 0.7835

Entry C
Material: LaMoOs2
Method: DFT, GGA-PBEsol
State: relaxed

Calculated values
M_tot: 0.0 μB/cell
theoretical density: 14.6 g/cm³

Cell lengths 4.4580, 4.7249, 4.4580 Å; angles 61.85, 90.00, 118.15 degrees
Element x y z (fractional)
Mo: 0.0000 0.0000 0.0000
Os: 0.2500 0.5000 0.2500
Os: 0.7500 0.5000 0.7500
La: 0.5000 0.0000 0.5000

Which structure is the most stable? The one labeled entry B.

Entry A
Material: LaMo2Rh
Method: DFT, GGA-PBEsol
State: relaxed

Calculated values
M_tot: 0.0 μB/cell
theoretical density: 9.8 g/cm³

Cell lengths 3.1706, 3.1706, 7.2894 Å; angles 90.00, 90.00, 90.00 degrees
Element x y z (fractional)
Mo: 0.5000 0.5000 0.2403
Mo: 0.0000 0.0000 0.0564
La: 0.5000 0.5000 0.7493
Rh: 0.0000 0.0000 0.4539

Entry B
Material: LaMo2Rh
Method: DFT, GGA-PBEsol
State: relaxed

Calculated values
M_tot: 0.0 μB/cell
theoretical density: 10.1 g/cm³

Cell lengths 2.8078, 5.2174, 5.5331 Å; angles 118.13, 90.00, 90.00 degrees
Element x y z (fractional)
Rh: 0.5000 0.0000 0.0000
Mo: 0.0000 0.5000 0.5000
Mo: 0.0000 0.0000 0.5000
La: 0.5000 0.5000 0.0000

Which structure is the most stable? The one labeled entry A.

Entry A
Material: LaMoS2
Method: DFT, GGA-PBEsol
State: relaxed

Calculated values
M_tot: 4.3 μB/cell
theoretical density: 4.2 g/cm³

Cell lengths 4.2282, 4.2282, 8.0327 Å; angles 74.74, 74.74, 60.00 degrees
Element x y z (fractional)
La: 0.5000 0.5000 0.5000
S: 0.8964 0.8964 0.3109
S: 0.1036 0.1036 0.6891
Mo: 0.0000 0.0000 0.0000

Entry B
Material: LaMoS2
Method: DFT, GGA-PBEsol
State: relaxed

Calculated values
M_tot: 1.0 μB/cell
theoretical density: 7.0 g/cm³

Cell lengths 4.6463, 4.6463, 4.6463 Å; angles 60.00, 60.00, 60.00 degrees
Element x y z (fractional)
La: 0.5000 0.5000 0.5000
S: 0.2500 0.2500 0.2500
S: 0.7500 0.7500 0.7500
Mo: 0.0000 0.0000 0.0000

Which structure is the most stable? The one labeled entry B.